[1]
A plane-wave DFT calculation with PBE was carried out for crystalline ScZnIr2 at its relaxed geometry.

Lattice parameters (Å, degrees): 2.8906 2.8906 26.7207 90.00 90.00 120.00
Last column: nearest neighbours and their distance in Å.
Space group R3m (No. 160, hexagonal axes)
Unique sites:
Sc: 0.0000 0.0000 0.0000  3 Ir 2.73, 6 Sc 2.89, 3 Zn 2.95
Zn: 0.0000 0.0000 0.2423  3 Ir 2.67, 6 Zn 2.89, 3 Sc 2.95
Ir: 0.0000 0.0000 0.4977  3 Zn 2.67, 9 Ir 2.78-2.89
Ir: 0.0000 0.0000 0.7476  3 Sc 2.73, 9 Ir 2.78-2.89

Summary:
DFT formation energy: -0.1 eV per formula unit
D(E_F): 14.7 states/eV/cell
total magnetization: 1.7 μB per cell

[2]
A plane-wave DFT calculation with PBE was carried out for crystalline ScZnIr at its relaxed geometry.

Lattice parameters (Å, degrees): 6.1614 6.1614 6.1614 90.00 90.00 90.00
Last column: nearest neighbours and their distance in Å.
Space group F-43m (No. 216)
Unique sites:
Sc: 0.0000 0.0000 0.0000  4 Ir 2.67
Zn: 0.0000 0.0000 0.5000  4 Ir 2.67
Ir: 0.2500 0.2500 0.7500  4 Sc 2.67, 4 Zn 2.67

Summary:
DFT formation energy: -1.5 eV per formula unit
D(E_F): 1.8 states/eV/cell
total magnetization: 0.0 μB per cell

[3]
A plane-wave DFT calculation with PBE was carried out for crystalline ScZnIr2 at its relaxed geometry.

Lattice parameters (Å, degrees): 3.8198 3.8198 8.5076 90.00 90.00 90.00
Last column: nearest neighbours and their distance in Å.
Space group I-4m2 (No. 119)
Unique sites:
Sc: 0.0000 0.0000 0.0000  8 Ir 2.70-2.86, 4 Zn 2.86
Zn: 0.0000 0.5000 0.7500  8 Ir 2.70-2.86, 4 Sc 2.86
Ir: 0.0000 0.0000 0.5000  4 Sc 2.70, 4 Ir 2.86, 4 Zn 2.86
Ir: 0.0000 0.5000 0.2500  4 Zn 2.70, 4 Sc 2.86, 4 Ir 2.86

Summary:
DFT formation energy: -1.9 eV per formula unit
D(E_F): 9.6 states/eV/cell
total magnetization: 0.0 μB per cell

[4]
A plane-wave DFT calculation with PBE was carried out for crystalline ScZnIr2 at its relaxed geometry.

Lattice parameters (Å, degrees): 2.8590 4.0387 5.3896 90.00 90.00 90.00
Last column: nearest neighbours and their distance in Å.
Space group Pmm2 (No. 25)
Unique sites:
Sc: 0.0000 0.0000 0.0000  6 Ir 2.67-2.78, 2 Sc 2.86, 4 Zn 2.90
Zn: 0.5000 0.5000 0.2818  6 Ir 2.61-2.78, 2 Zn 2.86, 4 Sc 2.90
Ir: 0.0000 0.0000 0.4959  2 Sc 2.67-2.72, 4 Zn 2.73, 6 Ir 2.86-2.87
Ir: 0.5000 0.5000 0.7668  2 Zn 2.61-2.78, 4 Sc 2.78, 6 Ir 2.86-2.87

Summary:
DFT formation energy: -1.8 eV per formula unit
D(E_F): 3.6 states/eV/cell
total magnetization: 0.0 μB per cell

[5]
A plane-wave DFT calculation with PBE was carried out for crystalline ScZnIr3 at its relaxed geometry.

Lattice parameters (Å, degrees): 4.5188 4.5188 4.5188 90.00 90.00 90.00
Last column: nearest neighbours and their distance in Å.
Space group Pm-3m (No. 221)
Unique sites:
Sc: 0.0000 0.0000 0.0000  12 Ir 3.20
Zn: 0.5000 0.5000 0.5000  6 Ir 2.26
Ir: 0.0000 0.5000 0.5000  2 Zn 2.26

Summary:
DFT formation energy: 3.4 eV per formula unit
D(E_F): 5.2 states/eV/cell
total magnetization: 0.0 μB per cell
relative energy among the computed polymorphs: 0 meV per atom

[6]
A plane-wave DFT calculation with PBE was carried out for crystalline Sc3Zn8Ir at its relaxed geometry.

Lattice parameters (Å, degrees): 5.1163 5.1163 25.3271 90.00 90.00 120.00
Last column: nearest neighbours and their distance in Å.
Space group R3m (No. 160, hexagonal axes)
Unique sites:
Sc: 0.0000 0.0000 0.0000  12 Zn 2.98-3.13, 4 Sc 3.17-3.27
Sc: 0.0000 0.0000 0.1250  12 Zn 2.92-3.03, 3 Ir 3.15, 1 Sc 3.17
Sc: 0.0000 0.0000 0.6112  1 Ir 2.77, 9 Zn 2.90-3.05
Zn: 0.0000 0.0000 0.3085  6 Zn 2.60-2.61
Zn: 0.0000 0.0000 0.8093  6 Zn 2.54-2.56
Zn: 0.0007 0.5004 0.5576  6 Zn 2.54-2.60
Zn: 0.0025 0.5013 0.0606  6 Zn 2.54-2.61
Ir: 0.0000 0.0000 0.5017  1 Sc 2.77, 12 Zn 2.92-3.10

Summary:
DFT formation energy: -4.2 eV per formula unit
D(E_F): 17.4 states/eV/cell
total magnetization: 0.0 μB per cell